Computed, not measured: a relaxed structure of CaVAgCl6 at the PBE level of DFT.

## Properties
For the density of states at the Fermi level, the calculation gives 1.067 states/eV per atom. Its space group is No. 163. The calculation puts the density at 3.04 g/cm³. Its uncorrected formation energy is -12.7 eV/f.u.

Cell: 6.6310 6.6310 11.7940 Å, 90.00 90.00 120.00°
Fractional positions:
Cl 0.3337 0.9616 0.6313
Cl 0.6663 0.0384 0.3687
Cl 0.3337 0.3721 0.8687
Cl 0.6279 0.9616 0.8687
Cl 0.0384 0.6663 0.8687
Cl 0.9616 0.6279 0.3687
Cl 0.3721 0.0384 0.1313
Cl 0.6279 0.6663 0.6313
Cl 0.6663 0.6279 0.1313
Cl 0.3721 0.3337 0.3687
Cl 0.0384 0.3721 0.6313
Cl 0.9616 0.3337 0.1313
V 0.6667 0.3333 0.2500
V 0.3333 0.6667 0.7500
Ca 0.3333 0.6667 0.2500
Ca 0.6667 0.3333 0.7500
Ag 0.0000 0.0000 0.0000
Ag 0.0000 0.0000 0.5000

***

Computed, not measured: a relaxed structure of CaZnAg2Cl6 at the PBE level of DFT.

## Properties
For the density of states at the Fermi level, the calculation gives 0.000 states/eV per atom. Its space group is No. 146. The calculation puts the density at 3.69 g/cm³. Its uncorrected formation energy is -11.8 eV/f.u.

Cell: 6.7856 6.7829 7.1949 Å, 61.84 61.82 59.97°
Fractional positions:
Ag 0.5310 0.5307 0.4072
Ag 0.0248 0.0255 0.9244
Zn 0.3214 0.3214 0.0358
Ca 0.8201 0.8200 0.5398
Cl 0.6917 0.1052 0.7787
Cl 0.1050 0.4245 0.7790
Cl 0.5708 0.2172 0.2569
Cl 0.9553 0.5702 0.2574
Cl 0.2174 0.9550 0.2572
Cl 0.4241 0.6920 0.7788

***

Computed, not measured: a relaxed structure of CaCoAg2 at the PBE level of DFT.

## Properties
For the density of states at the Fermi level, the calculation gives 1.663 states/eV per atom. Its space group is No. 225. Its energy relative to the lowest polymorph listed for this composition is 0.0403 eV/atom. The value obtained for the formation energy is 0.24 eV/atom. The calculation puts the density at 6.77 g/cm³.

Cell: 4.7793 4.7793 4.7793 Å, 60.00 60.00 60.00°
Fractional positions:
Co 0.5000 0.5000 0.5000
Ca 0.0000 0.0000 0.0000
Ag 0.7500 0.7500 0.7500
Ag 0.2500 0.2500 0.2500

***

Computed, not measured: a relaxed structure of Ca2Co2Ag at the PBE level of DFT.

## Properties
For the density of states at the Fermi level, the calculation gives 1.117 states/eV per atom. Its space group is No. 127. Its energy relative to the lowest polymorph listed for this composition is 0.3384 eV/atom. The value obtained for the formation energy is 0.45 eV/atom. The calculation puts the density at 4.74 g/cm³.

Cell: 8.3559 8.3559 3.0721 Å, 90.00 90.00 90.00°
Fractional positions:
Ca 0.3117 0.8117 0.0000
Ca 0.6883 0.1883 0.0000
Ca 0.8117 0.6883 0.0000
Ca 0.1883 0.3117 0.0000
Co 0.4081 0.0919 0.5000
Co 0.5919 0.9081 0.5000
Co 0.0919 0.5919 0.5000
Co 0.9081 0.4081 0.5000
Ag 0.0000 0.0000 0.0000
Ag 0.5000 0.5000 0.0000

***

Computed, not measured: a relaxed structure of CaCoAg3 at the PBE level of DFT.

## Properties
For the density of states at the Fermi level, the calculation gives 1.451 states/eV per atom. Its space group is No. 221. Its energy relative to the lowest polymorph listed for this composition is 0.0000 eV/atom. The value obtained for the formation energy is 0.36 eV/atom. The calculation puts the density at 6.06 g/cm³.

Cell: 4.8739 4.8739 4.8739 Å, 90.00 90.00 90.00°
Fractional positions:
Ag 0.5000 0.0000 0.0000
Ag 0.0000 0.5000 0.0000
Ag 0.0000 0.0000 0.5000
Co 0.0000 0.0000 0.0000
Ca 0.5000 0.5000 0.5000

***

Computed, not measured: a relaxed structure of CaCo3Ag at the PBE level of DFT.

## Properties
For the density of states at the Fermi level, the calculation gives 1.797 states/eV per atom. Its space group is No. 221. Its energy relative to the lowest polymorph listed for this composition is 0.0000 eV/atom. The value obtained for the formation energy is 1.15 eV/atom. The calculation puts the density at 5.07 g/cm³.

Cell: 4.7391 4.7391 4.7391 Å, 90.00 90.00 90.00°
Fractional positions:
Ca 0.5000 0.5000 0.5000
Co 0.5000 0.0000 0.0000
Co 0.0000 0.0000 0.5000
Co 0.0000 0.5000 0.0000
Ag 0.0000 0.0000 0.0000

***

Computed, not measured: a relaxed structure of CaCoAg2 at the PBE level of DFT.

## Properties
For the density of states at the Fermi level, the calculation gives 0.952 states/eV per atom. Its space group is No. 122. Its energy relative to the lowest polymorph listed for this composition is 0.2169 eV/atom. The value obtained for the formation energy is 0.42 eV/atom. The calculation puts the density at 6.39 g/cm³.

Cell: 4.0571 4.0571 10.3423 Å, 78.69 78.69 90.00°
Fractional positions:
Ca 0.2500 0.7500 0.5000
Ca 0.5000 0.5000 0.0000
Co 0.0000 0.0000 0.0000
Co 0.7500 0.2500 0.5000
Ag 0.3750 0.3489 0.7500
Ag 0.0989 0.6250 0.2500
Ag 0.6511 0.1250 0.2500
Ag 0.8750 0.9011 0.7500

***

Computed, not measured: a relaxed structure of Ca2Co2Ag at the PBE level of DFT.

## Properties
For the density of states at the Fermi level, the calculation gives 0.998 states/eV per atom. Its space group is No. 127. Its energy relative to the lowest polymorph listed for this composition is 0.0348 eV/atom. The value obtained for the formation energy is 0.15 eV/atom. The calculation puts the density at 5.01 g/cm³.

Cell: 6.8462 6.8462 4.3224 Å, 90.00 90.00 90.00°
Fractional positions:
Ca 0.6797 0.8203 0.5000
Ca 0.1797 0.6797 0.5000
Ca 0.3203 0.1797 0.5000
Ca 0.8203 0.3203 0.5000
Co 0.1129 0.3871 0.0000
Co 0.8871 0.6129 0.0000
Co 0.6129 0.1129 0.0000
Co 0.3871 0.8871 0.0000
Ag 0.5000 0.5000 0.0000
Ag 0.0000 0.0000 0.0000

***

Computed, not measured: a relaxed structure of CaCoAg2 at the PBE level of DFT.

## Properties
For the density of states at the Fermi level, the calculation gives 1.062 states/eV per atom. Its space group is No. 166. Its energy relative to the lowest polymorph listed for this composition is 0.2987 eV/atom. The value obtained for the formation energy is 0.50 eV/atom. The calculation puts the density at 6.73 g/cm³.

Cell: 9.3711 9.3711 9.3711 Å, 19.18 19.18 19.18°
Fractional positions:
Ca 0.2500 0.2500 0.2500
Co 0.7500 0.7500 0.7500
Ag 0.4905 0.4905 0.4905
Ag 0.0095 0.0095 0.0095

***

Computed, not measured: a relaxed structure of Ca2Co2Ag at the PBE level of DFT.

## Properties
For the density of states at the Fermi level, the calculation gives 0.711 states/eV per atom. Its space group is No. 139. Its energy relative to the lowest polymorph listed for this composition is 0.0000 eV/atom. The value obtained for the formation energy is 0.11 eV/atom. The calculation puts the density at 4.85 g/cm³.

Cell: 3.4153 3.4153 9.2949 Å, 79.41 79.41 90.00°
Fractional positions:
Co 0.2500 0.7500 0.5000
Co 0.7500 0.2500 0.5000
Ca 0.3845 0.3845 0.2309
Ca 0.6155 0.6155 0.7691
Ag 0.0000 0.0000 0.0000

***

Computed, not measured: a relaxed structure of CaCoAg2 at the PBE level of DFT.

## Properties
For the density of states at the Fermi level, the calculation gives 1.461 states/eV per atom. Its space group is No. 123. Its energy relative to the lowest polymorph listed for this composition is 0.0240 eV/atom. The value obtained for the formation energy is 0.22 eV/atom. The calculation puts the density at 6.75 g/cm³.

Cell: 3.4057 3.4057 6.6734 Å, 90.00 90.00 89.99°
Fractional positions:
Co 0.5000 0.5000 0.7500
Ag 0.0000 0.0000 0.9551
Ag 0.0000 0.0000 0.5449
Ca 0.5000 0.5000 0.2500

***

Computed, not measured: a relaxed structure of CaCoAg2 at the PBE level of DFT.

## Properties
For the density of states at the Fermi level, the calculation gives 0.802 states/eV per atom. Its space group is No. 123. Its energy relative to the lowest polymorph listed for this composition is 0.0042 eV/atom. The value obtained for the formation energy is 0.21 eV/atom. The calculation puts the density at 7.07 g/cm³.

Cell: 4.1777 4.1731 4.2391 Å, 90.00 90.00 90.00°
Fractional positions:
Ag 0.5000 0.5000 0.0000
Ag 0.0000 0.0000 0.0000
Ca 0.5000 0.0000 0.5000
Co 0.0000 0.5000 0.5000

***

Which value of density does entry 10 give?
4.85 g/cm³

***

density of number 7 (CaCoAg2)?
6.39 g/cm³